## TcMoS2N (GGA-PBEsol)

Data for crystalline TcMoS2N at its relaxed geometry. Values from VASP.

Summary:
Total moment: 3.118 μB/f.u.
Raw formation energy: 0.6023 eV/atom

Cell and atoms, written as Quantum ESPRESSO input:
```
&SYSTEM
  ibrav = 0, nat = 5, ntyp = 4
/
ATOMIC_SPECIES
Tc 98.00 Tc.upf
Mo 95.94 Mo.upf
S 32.06 S.upf
N 14.01 N.upf
ATOMIC_POSITIONS crystal
Tc 0.000 0.000 0.000
Mo 0.500 0.500 0.500
S 0.000 0.500 0.000
S 0.500 0.000 0.000
N 0.000 0.000 0.500
CELL_PARAMETERS angstrom
4.692 0.000 0.000
0.000 4.692 0.000
0.000 0.000 3.621
```